Below is an optimized crystal structure of BaNaTa, with properties calculated at the PBE level.

The formation energy comes out at 201 kJ/mol of formula units. The calculation puts the density of states at the Fermi level at 0.7301 states/eV per atom. The total magnetization is 0.00 Bohr magnetons per cell. The crystal system is orthorhombic.

The structure in CIF format:
```
data_BaNaTa
_chemical_formula_sum 'Ba4 Na4 Ta4'
_cell_length_a 5.0981
_cell_length_b 21.0717
_cell_length_c 4.2875
_cell_angle_alpha 90.00
_cell_angle_beta 90.00
_cell_angle_gamma 90.00
_space_group_name_H-M_alt 'C m c m'
_space_group_IT_number 63
_space_group_name_Hall '-C 2c 2'
loop_
_atom_site_label
_atom_site_fract_x
_atom_site_fract_y
_atom_site_fract_z
Ba1 0.0000 0.0901 0.2500
Na1 0.0000 0.2959 0.2500
Ta1 0.0000 0.4680 0.2500
```